No. 1
Entry from the Alexandria database: a geometry-optimized Na2YPaO5 structure (PBE).

Cell lengths 4.1943, 4.1943, 8.6907 Å; angles 90.00, 90.00, 90.00 degrees
Last column: nearest neighbours and their distance in Å.
Element x y z (fractional)
Na 0.0000 0.0000 0.2354  1 O 2.30
Na 0.0000 0.0000 0.7646  1 O 2.30
Y 0.5000 0.5000 0.5000  2 O 2.13
Pa 0.5000 0.5000 0.0000  6 O 2.10-2.21
O 0.0000 0.0000 0.5000  2 Na 2.30
O 0.0000 0.5000 0.0000  2 Pa 2.10
O 0.5000 0.0000 0.0000  2 Pa 2.10
O 0.5000 0.5000 0.2544  1 Y 2.13, 1 Pa 2.21
O 0.5000 0.5000 0.7456  1 Y 2.13, 1 Pa 2.21

Computed properties:
VASP energy = -7.45 eV/atom
calculated volume = 16.99 A^3/atom
formation energy from raw total energies = -2.629 eV per atom

No. 2
Entry from the Alexandria database: a geometry-optimized Cs2ZrHg2Br6 structure (PBE).

Cell lengths 8.8135, 8.8135, 8.7101 Å; angles 101.87, 101.87, 121.29 degrees
Last column: nearest neighbours and their distance in Å.
Element x y z (fractional)
Cs 0.1688 0.8312 0.0000  6 Br 3.67-3.72
Cs 0.8312 0.1688 0.0000  6 Br 3.67-3.72
Zr 0.5000 0.5000 0.0000  6 Br 2.66
Hg 0.3045 0.6955 0.5000  6 Br 3.88-3.95
Hg 0.6955 0.3045 0.5000  6 Br 3.88-3.95
Br 0.1709 0.4158 0.8036  1 Zr 2.66
Br 0.3278 0.3278 0.1921  1 Zr 2.66
Br 0.4158 0.1709 0.8036  1 Zr 2.66
Br 0.5842 0.8291 0.1964  1 Zr 2.66
Br 0.6722 0.6722 0.8079  1 Zr 2.66
Br 0.8291 0.5842 0.1964  1 Zr 2.66

Computed properties:
VASP energy = -3.19 eV/atom
calculated volume = 47.71 A^3/atom
formation energy from raw total energies = -1.288 eV per atom